1.
Here is crystalline TlTcP at its relaxed geometry from the Alexandria database. Energies are from PBE.

Properties
E_tot ... -17.326 eV per cell
Space-group type ... P-6m2, No. 187
Relative energy among the computed polymorphs ... 228 meV/atom
Magnetization ... 0.00 μB per atom

a b c (Å): 4.0311 4.0311 4.0326
angles (deg): 90.00 90.00 120.00
Sites, in units of the cell vectors:
Tc1 0.6667 0.3333 0.0000
P1 0.0000 0.0000 0.0000
Tl1 0.3333 0.6667 0.5000

2.
Here is crystalline MoAu2Br at its relaxed geometry from the Alexandria database. Energies are from PBE.

Properties
E_tot ... -15.511 eV per cell
Space-group type ... Fm-3m, No. 225
ΔE_f (raw) ... 887 meV per atom
Relative energy among the computed polymorphs ... 665 meV/atom
Magnetization ... 0.74 μB per atom

a b c (Å): 4.8475 4.8475 4.8475
angles (deg): 60.00 60.00 60.00
Last column: magnetic moment on the atom in μB.
Sites, in units of the cell vectors:
Br1 0.0000 0.0000 0.0000  -0.02
Au1 0.2500 0.2500 0.2500  0.01
Mo1 0.5000 0.5000 0.5000  2.62
Au2 0.7500 0.7500 0.7500  0.01

3.
Here is crystalline KNiBi at its relaxed geometry from the Alexandria database. Energies are from PBE.

Properties
E_tot ... -22.218 eV per cell
Space-group type ... C2/m, No. 12
Magnetization ... 0.00 μB per atom

a b c (Å): 7.7545 6.3420 10.0660
angles (deg): 138.55 118.98 35.18
Sites, in units of the cell vectors:
Bi1 0.4606 0.9946 0.0074
K1 0.9763 0.9480 0.9769
Ni1 0.6500 0.1982 0.6292
K2 0.7364 0.3694 0.4563
Bi2 0.2521 0.3230 0.4257
Ni2 0.0624 0.1193 0.8041

4.
Here is crystalline Ca3HPb at its relaxed geometry from the Alexandria database. Energies are from PBE.

Properties
E_tot ... -29.893 eV per cell
Space-group type ... P2_1/m, No. 11
Relative energy among the computed polymorphs ... 53 meV/atom
Magnetization ... 0.00 μB per atom

a b c (Å): 5.5218 7.0112 8.0463
angles (deg): 90.00 108.03 90.00
Sites, in units of the cell vectors:
Pb1 0.1549 0.2500 0.2805
H1 0.5474 0.7500 0.1812
Ca1 0.6858 0.4949 0.3492
Ca2 0.1086 0.7500 0.1295
Ca3 0.6858 0.0051 0.3492
Ca4 0.8914 0.2500 0.8705
Ca5 0.3142 0.9949 0.6508
Pb2 0.8451 0.7500 0.7195
H2 0.4526 0.2500 0.8188
Ca6 0.3142 0.5051 0.6508

5.
Here is crystalline Sm8Dy5Tm at its relaxed geometry from the Alexandria database. Energies are from PBE.

Properties
E_tot ... -61.634 eV per cell
Space-group type ... C2, No. 5
Magnetization ... 0.00 μB per atom

a b c (Å): 8.5081 8.5158 8.5081
angles (deg): 110.93 106.51 110.98
Sites, in units of the cell vectors:
Sm1 0.7318 0.2570 0.3365
Sm2 0.5690 0.9104 0.8347
Dy1 0.5001 0.0000 0.5001
Sm3 0.9243 0.0896 0.6586
Dy2 0.8173 0.6848 0.7183
Sm4 0.6636 0.3952 0.9203
Sm5 0.5252 0.6048 0.2684
Sm6 0.3408 0.2649 0.4309
Dy3 0.2814 0.0992 0.9665
Tm1 0.2502 0.5000 0.7502
Dy4 0.0334 0.3152 0.1325
Sm7 0.1660 0.7351 0.0759
Dy5 0.8673 0.9008 0.1822
Sm8 0.0795 0.7430 0.4748

6.
Here is crystalline Cs2Np2USe6 at its relaxed geometry from the Alexandria database. Energies are from PBE.

Properties
E_tot ... -73.169 eV per cell
Space-group type ... C2/m, No. 12
ΔE_f (raw) ... -1217 meV per atom
Magnetization ... 0.49 μB per atom

a b c (Å): 7.3744 7.3744 8.9078
angles (deg): 97.97 97.97 120.03
Last column: magnetic moment on the atom in μB.
Sites, in units of the cell vectors:
Se1 0.0604 0.3925 0.6816  -0.04
Cs1 0.1675 0.8325 0.0000  0.00
Se2 0.6075 0.9396 0.3184  -0.04
Np1 0.3336 0.6664 0.5000  3.83
Se3 0.2701 0.2701 0.3182  -0.03
Cs2 0.8325 0.1675 0.0000  0.00
Np2 0.6664 0.3336 0.5000  3.83
U1 0.0000 0.0000 0.5000  -2.25
Se4 0.7299 0.7299 0.6818  -0.03
Se5 0.3925 0.0604 0.6816  -0.04
Se6 0.9396 0.6075 0.3184  -0.04